First-principles (GGA-PBE) data for Re2RhS6 after structural relaxation, as listed in the Alexandria database.

a = 4.386 Å, b = 6.108 Å, c = 7.700 Å
α = 67.03°, β = 73.45°, γ = 68.96°
Atoms (fractional coordinates):
Re  0.189  0.764  0.857
Re  0.811  0.236  0.143
Rh  0.000  0.500  0.500
S  0.694  0.664  0.948
S  0.306  0.336  0.052
S  0.987  0.817  0.209
S  0.356  0.716  0.573
S  0.013  0.183  0.791
S  0.644  0.284  0.427

- V: 19.41 Å³/atom
- DFT total energy: -6.433 eV/atom



First-principles (GGA-PBE) data for ReRh3S after structural relaxation, as listed in the Alexandria database.

a = 4.358 Å, b = 4.358 Å, c = 4.358 Å
α = 90.00°, β = 90.00°, γ = 90.00°
Each line ends with the local moment (μB).
Atoms (fractional coordinates):
Re  0.500  0.500  0.500  2.78
S  0.000  0.000  0.000  0.03
Rh  0.000  0.500  0.000  0.29
Rh  0.000  0.000  0.500  0.26
Rh  0.500  0.000  0.000  0.35

- Polymorph energy (0 for the lowest one): 0.0 meV/atom
- V: 16.55 Å³/atom
- DFT total energy: -6.927 eV/atom



First-principles (GGA-PBE) data for ReRhS3 after structural relaxation, as listed in the Alexandria database.

a = 4.593 Å, b = 4.593 Å, c = 4.593 Å
α = 90.00°, β = 90.00°, γ = 90.00°
Each line ends with the local moment (μB).
Atoms (fractional coordinates):
Re  0.000  0.000  0.000  -0.33
S  0.000  0.500  0.000  0.14
S  0.000  0.000  0.500  0.09
S  0.500  0.000  0.000  0.08
Rh  0.500  0.500  0.500  1.20

- Polymorph energy (0 for the lowest one): 0.0 meV/atom
- V: 19.37 Å³/atom
- DFT total energy: -5.649 eV/atom



First-principles (GGA-PBE) data for ReRhS3 after structural relaxation, as listed in the Alexandria database.

a = 4.485 Å, b = 4.485 Å, c = 4.485 Å
α = 90.00°, β = 90.00°, γ = 90.00°
Atoms (fractional coordinates):
Re  0.500  0.500  0.500
S  0.000  0.500  0.000
S  0.000  0.000  0.500
S  0.500  0.000  0.000
Rh  0.000  0.000  0.000

- Polymorph energy (0 for the lowest one): 540.2 meV/atom
- V: 18.04 Å³/atom
- DFT total energy: -5.109 eV/atom